NaZnIn2Co | PBE | relaxed

Summary:
- Crystal system: tetragonal
- ΔH_f (0 K): 4 meV/atom
- Magnetic moment: 0.000 μB/f.u.
- Space-group type: No. 123

a b c (Å): 4.928 4.928 4.757
angles (deg): 90.00 90.00 90.00
Fractional coordinates of all 5 atoms:
Na  0.500  0.500  0.500
In  0.000  0.500  0.000
Zn  0.000  0.000  0.500
Co  0.000  0.000  0.000
In  0.500  0.000  0.000